A geometry-optimized MnIrO3 structure, computed with GGA+U.

a = 5.6257 Å, b = 5.6257 Å, c = 6.3129 Å
α = 100.79°, β = 100.79°, γ = 39.09°
Closest atoms and distances in Å follow each position.
Fractional positions:
Mn1 0.1343 0.1343 0.3980  5 O 2.08-2.30
Mn2 0.8657 0.8657 0.6020  5 O 2.08-2.30
Ir1 0.3692 0.3692 0.0865  6 O 1.94-2.09
Ir2 0.6308 0.6308 0.9135  6 O 1.94-2.09
O1 0.1721 0.1721 0.9530  3 Ir 1.94-2.09
O2 0.3294 0.3294 0.3886  1 Ir 2.03, 1 Mn 2.08
O3 0.4371 0.4371 0.7990  2 Ir 2.04-2.08
O4 0.5629 0.5629 0.2010  2 Ir 2.04-2.08
O5 0.6706 0.6706 0.6114  1 Ir 2.03, 1 Mn 2.08
O6 0.8279 0.8279 0.0470  3 Ir 1.94-2.09

Computed properties:
Symmetry = C2/m, No. 12
Uncorrected energy = -7.137 eV per atom
D(E_F) = 4.81 states/eV per cell
V = 12.3 Å³ per atom

---

A geometry-optimized MnP2IrO structure, computed with GGA+U.

a = 4.8769 Å, b = 4.8769 Å, c = 3.6843 Å
α = 90.00°, β = 90.00°, γ = 90.00°
Closest atoms and distances in Å follow each position.
Fractional positions:
Mn1 0.0000 0.0000 0.0000  8 P 3.06
P1 0.0000 0.5000 0.5000  2 Ir 2.44
P2 0.5000 0.0000 0.5000  2 Ir 2.44
Ir1 0.5000 0.5000 0.5000  2 O 1.84
O1 0.5000 0.5000 0.0000  2 Ir 1.84

Computed properties:
Symmetry = P4/mmm, No. 123
Uncorrected energy = -6.175 eV per atom
D(E_F) = 4.26 states/eV per cell
V = 17.5 Å³ per atom